Below is a geometry-optimized CoTc2Ge structure, with properties calculated at the PBE level.

Its formation energy is 1.07 eV/atom. The calculation puts the total energy at -56.4 eV/cell.

The structure in extended XYZ format:
```
8
Lattice="-1.1372 -0.6941 -5.5069 2.6403 -5.0123 0.0866 -3.3569 -4.9980 -1.5914" Properties=species:S:1:pos:R:3 pbc="T T T"
Co 0.0174 -6.4318 -2.1075
Co 0.7515 -2.8532 -2.7102
Tc 0.6337 -4.4903 -1.2018
Tc -1.1849 -2.2885 -3.6592
Tc -1.2838 -8.5872 -5.9391
Tc -1.8727 -6.0428 -3.2235
Ge 0.0000 0.0000 0.0000
Ge -1.8713 -4.2727 -4.9043
```



Below is a geometry-optimized CoTcGe2 structure, with properties calculated at the PBE level.

Its formation energy is 0.02 eV/atom. The calculation puts the total energy at -26.6 eV/cell.

The structure in extended XYZ format:
```
4
Lattice="-0.4768 -2.1812 1.8552 1.3280 -2.5520 -0.3880 6.1286 0.8088 4.7971" Properties=species:S:1:pos:R:3 pbc="T T T"
Co 0.0000 0.0000 0.0000
Ge 1.6601 -1.0158 1.5035
Ge 5.3197 -2.9087 4.7608
Tc 3.4899 -1.9622 3.1321
```



Below is a geometry-optimized CoTcGe3 structure, with properties calculated at the PBE level.

Its formation energy is -0.07 eV/atom. The calculation puts the total energy at -63.4 eV/cell.

The structure in extended XYZ format:
```
10
Lattice="5.5448 0.0000 0.0000 2.7725 4.8021 0.0000 2.7725 1.6006 6.1857" Properties=species:S:1:pos:R:3 pbc="T T T"
Ge 6.3462 1.5724 1.6445
Ge 6.5549 4.7100 1.6444
Ge 3.7335 3.3218 1.6444
Ge 7.3563 3.0809 4.5413
Ge 4.7436 4.8303 4.5412
Ge 4.5349 1.6927 4.5413
Co 2.7725 1.6006 3.0118
Co 8.3174 4.8021 3.1739
Tc 8.3173 4.8020 6.1645
Tc 2.7725 1.6007 0.0212
```



Below is a geometry-optimized CoTc2Ge structure, with properties calculated at the PBE level.

Its formation energy is 0.06 eV/atom. The calculation puts the total energy at -32.2 eV/cell.

The structure in extended XYZ format:
```
4
Lattice="-0.7473 -1.3497 2.4489 3.0252 -2.9968 -0.7286 2.8753 2.3715 2.1845" Properties=species:S:1:pos:R:3 pbc="T T T"
Co 2.5766 -0.9875 1.9524
Tc 1.5126 -1.4984 -0.3643
Tc 1.4377 1.1858 1.0922
Ge -0.3736 -0.6749 1.2245
```



Below is a geometry-optimized CoTcGe3 structure, with properties calculated at the PBE level.

Its formation energy is 0.75 eV/atom. The calculation puts the total energy at -27.6 eV/cell.

The structure in extended XYZ format:
```
5
Lattice="-1.8128 -3.5732 -2.0206 4.0859 -1.7831 -0.5124 -0.3949 -2.0468 3.9738" Properties=species:S:1:pos:R:3 pbc="T T T"
Tc 0.9391 -3.7015 0.7204
Co 0.0000 0.0000 0.0000
Ge -0.9064 -1.7866 -1.0103
Ge 2.0429 -0.8916 -0.2562
Ge -0.1974 -1.0234 1.9869
```



Below is a geometry-optimized Co2TcGe structure, with properties calculated at the PBE level.

Its formation energy is 0.12 eV/atom. The calculation puts the total energy at -28.7 eV/cell.

The structure in extended XYZ format:
```
4
Lattice="3.9054 0.0000 0.0000 1.9527 3.3822 0.0000 1.9527 1.1274 4.0772" Properties=species:S:1:pos:R:3 pbc="T T T"
Ge 5.8581 3.3822 3.8616
Tc 3.9054 2.2548 2.2600
Co 1.9527 1.1274 0.8349
Co 1.9527 1.1274 3.2366
```



Below is a geometry-optimized CoTcGe2 structure, with properties calculated at the PBE level.

Its formation energy is -0.08 eV/atom. The calculation puts the total energy at -27.0 eV/cell.

The structure in extended XYZ format:
```
4
Lattice="3.0566 0.0000 0.0000 0.0000 4.1955 0.0000 0.0000 0.0000 4.1955" Properties=species:S:1:pos:R:3 pbc="T T T"
Co 1.5283 0.0000 0.0000
Ge 0.0000 0.0000 2.0978
Ge 0.0000 2.0978 0.0000
Tc 1.5283 2.0978 2.0978
```



Below is a geometry-optimized Th2Co3TcGe4 structure, with properties calculated at the PBE level.

Its formation energy is -0.57 eV/atom. The calculation puts the total energy at -70.7 eV/cell.

The structure in extended XYZ format:
```
10
Lattice="-2.0824 -3.6455 -0.2546 2.2356 -1.5027 3.2303 -6.6583 3.3721 6.1766" Properties=species:S:1:pos:R:3 pbc="T T T"
Ge 0.0766 -2.5741 1.4879
Ge 0.0000 0.0000 0.0000
Ge -5.2554 0.3116 3.7821
Ge -1.3262 0.4865 3.8824
Th -3.8910 1.7854 6.2616
Th -2.6907 -0.9873 1.4029
Tc -3.2525 -0.8880 4.5762
Co -3.3291 1.6860 3.0883
Co -6.8857 1.1372 5.2944
Co 0.3040 -0.3392 2.3701
```



Copy entry 3 word for word.
Below is a geometry-optimized CoTcGe3 structure, with properties calculated at the PBE level.

Its formation energy is -0.07 eV/atom. The calculation puts the total energy at -63.4 eV/cell.

The structure in extended XYZ format:
```
10
Lattice="5.5448 0.0000 0.0000 2.7725 4.8021 0.0000 2.7725 1.6006 6.1857" Properties=species:S:1:pos:R:3 pbc="T T T"
Ge 6.3462 1.5724 1.6445
Ge 6.5549 4.7100 1.6444
Ge 3.7335 3.3218 1.6444
Ge 7.3563 3.0809 4.5413
Ge 4.7436 4.8303 4.5412
Ge 4.5349 1.6927 4.5413
Co 2.7725 1.6006 3.0118
Co 8.3174 4.8021 3.1739
Tc 8.3173 4.8020 6.1645
Tc 2.7725 1.6007 0.0212
```